# Rb3TeF, relaxed, DFT PBE
# - formation energy from raw total energies (eV per atom) = -1.32
data_Rb3TeF
_cell_length_a 6.3960
_cell_length_b 6.3960
_cell_length_c 7.2541
_cell_angle_alpha 90.00
_cell_angle_beta 90.00
_cell_angle_gamma 90.00
_symmetry_space_group_name_H-M 'P 4 m m'
_symmetry_Int_Tables_number 99
loop_
_symmetry_equiv_pos_as_xyz
'x,y,z'
'-y,x,z'
'-x,-y,z'
'y,-x,z'
'-x,y,z'
'y,x,z'
'x,-y,z'
'-y,-x,z'
loop_
_atom_site_label
_atom_site_type_symbol
_atom_site_fract_x
_atom_site_fract_y
_atom_site_fract_z
_atom_site_occupancy
Rb1 Rb 0.0000 0.0000 0.0000 1
Rb2 Rb 0.0000 0.5000 0.6289 1
Te1 Te 0.0000 0.0000 0.4634 1
F1 F 0.5000 0.5000 0.7338 1



# DyRhCl6, relaxed, DFT PBE
# - formation energy from raw total energies (eV per atom) = -1.33
data_DyRhCl6
_cell_length_a 6.3061
_cell_length_b 6.3061
_cell_length_c 17.1722
_cell_angle_alpha 90.00
_cell_angle_beta 90.00
_cell_angle_gamma 120.00
_symmetry_space_group_name_H-M 'R -3'
_symmetry_Int_Tables_number 148
_symmetry_space_group_name_Hall '-R 3'
loop_
_atom_site_label
_atom_site_type_symbol
_atom_site_fract_x
_atom_site_fract_y
_atom_site_fract_z
_atom_site_occupancy
Dy1 Dy 0.0000 0.0000 0.0000 1
Rh1 Rh 0.0000 0.0000 0.5000 1
Cl1 Cl 0.0049 0.6940 0.4208 1



For the records above, the corresponding magnetic moment values read 0.00, 0.00 μB/f.u..